1.
Crystalline Ce2Hg3Pd2 at its relaxed geometry. Source: Alexandria via LeMat-Bulk, functional PBE.

Size of the total moment (μB/cell): 1.604
Fermi-level density of states (states/eV/atom): 1.877
Space group: P2/m, No. 10
ΔE_f (eV per atom): -0.37

POSCAR file:
```
Ce2Hg3Pd2
1.0
4.080 0.000 -0.051
0.000 3.665 0.000
-1.880 0.000 12.073
Ce Hg Pd
2 3 2
direct
0.418 0.500 0.836
0.582 0.500 0.164
0.293 0.000 0.586
0.000 0.000 0.000
0.707 0.000 0.414
0.126 0.000 0.253
0.874 0.000 0.747
```

2.
Crystalline CeHg2Pd2 at its relaxed geometry. Source: Alexandria via LeMat-Bulk, functional PBE.

Size of the total moment (μB/cell): 0.923
Fermi-level density of states (states/eV/atom): 1.745
Space group: C2/m, No. 12
ΔE_f (eV per atom): -0.37

POSCAR file:
```
CeHg2Pd2
1.0
4.154 0.451 -0.485
-0.441 4.154 -0.485
-1.702 -2.111 6.913
Ce Hg Pd
1 2 2
direct
0.000 0.000 0.000
0.248 0.752 0.500
0.752 0.248 0.500
0.549 0.549 0.193
0.451 0.451 0.807
```

3.
Crystalline Ce2HgPd at its relaxed geometry. Source: Alexandria via LeMat-Bulk, functional PBE.

Size of the total moment (μB/cell): 1.642
Excess energy over the best structure of this formula in the dataset (eV per atom): 0.0589
Fermi-level density of states (states/eV/atom): 2.672
Space group: P4/mmm, No. 123
ΔE_f (eV per atom): -0.40

POSCAR file:
```
Ce2HgPd
1.0
4.334 0.000 0.000
0.000 4.709 0.000
0.000 0.000 4.709
Pd Hg Ce
1 1 2
direct
0.500 0.000 0.000
0.500 0.500 0.500
0.000 0.000 0.500
0.000 0.500 0.000
```

4.
Crystalline CeHg5Pd at its relaxed geometry. Source: Alexandria via LeMat-Bulk, functional PBE.

Size of the total moment (μB/cell): 1.059
Fermi-level density of states (states/eV/atom): 1.433
Space group: P4/mmm, No. 123
ΔE_f (eV per atom): -0.26

POSCAR file:
```
CeHg5Pd
1.0
-4.657 0.435 1.496
0.538 -3.976 2.832
2.158 4.205 5.493
Ce Hg Pd
1 5 1
direct
0.000 0.000 0.000
0.500 0.000 0.705
0.000 0.500 0.705
0.500 0.500 0.000
0.000 0.500 0.295
0.500 0.000 0.295
0.000 0.000 0.500
```

5.
Crystalline Ce4HgPd15 at its relaxed geometry. Source: Alexandria via LeMat-Bulk, functional PBE.

Size of the total moment (μB/cell): 1.174
Fermi-level density of states (states/eV/atom): 0.766
Space group: P4/mmm, No. 123
ΔE_f (eV per atom): -0.70

POSCAR file:
```
Ce4HgPd15
1.0
4.149 0.000 0.000
0.000 4.149 0.000
0.000 0.000 20.570
Ce Hg Pd
4 1 15
direct
0.000 0.000 0.194
0.000 0.000 0.398
0.000 0.000 0.602
0.000 0.000 0.806
0.000 0.000 0.000
0.500 0.500 0.000
0.500 0.500 0.199
0.500 0.500 0.399
0.500 0.500 0.601
0.500 0.500 0.801
0.500 0.000 0.100
0.500 0.000 0.298
0.500 0.000 0.500
0.500 0.000 0.702
0.500 0.000 0.900
0.000 0.500 0.100
0.000 0.500 0.298
0.000 0.500 0.500
0.000 0.500 0.702
0.000 0.500 0.900
```

6.
Crystalline CeHgPd2 at its relaxed geometry. Source: Alexandria via LeMat-Bulk, functional PBE.

Size of the total moment (μB/cell): 1.439
Fermi-level density of states (states/eV/atom): 1.661
Space group: Cmcm, No. 63
ΔE_f (eV per atom): -0.48

POSCAR file:
```
CeHgPd2
1.0
4.193 0.000 0.000
0.000 5.277 0.000
-2.096 0.000 8.021
Ce Hg Pd
2 2 4
direct
0.608 0.750 0.216
0.392 0.250 0.784
0.844 0.750 0.688
0.156 0.250 0.312
0.774 0.250 0.547
0.226 0.750 0.453
0.000 0.000 0.000
0.000 0.500 0.000
```

7.
Crystalline Ce2Hg3Pd at its relaxed geometry. Source: Alexandria via LeMat-Bulk, functional PBE.

Size of the total moment (μB/cell): 1.830
Fermi-level density of states (states/eV/atom): 1.934
Space group: Pmm2, No. 25
ΔE_f (eV per atom): -0.45

POSCAR file:
```
Ce2Hg3Pd
1.0
-0.067 -2.177 2.579
4.424 -1.769 -1.378
3.880 5.807 5.003
Ce Hg Pd
2 3 1
direct
0.000 0.500 0.024
0.000 0.000 0.486
0.500 0.000 0.832
0.500 0.000 0.171
0.500 0.500 0.658
0.500 0.500 0.329
```

8.
Crystalline Ce2HgPd at its relaxed geometry. Source: Alexandria via LeMat-Bulk, functional PBE.

Size of the total moment (μB/cell): 1.509
Excess energy over the best structure of this formula in the dataset (eV per atom): 0.0000
Fermi-level density of states (states/eV/atom): 2.384
Space group: P4/mmm, No. 123
ΔE_f (eV per atom): -0.46

POSCAR file:
```
Ce2HgPd
1.0
3.822 0.000 0.000
0.000 3.822 0.000
0.000 0.000 6.787
Pd Hg Ce
1 1 2
direct
0.500 0.500 0.000
0.500 0.500 0.500
0.000 0.000 0.787
0.000 0.000 0.213
```

9.
Crystalline CeHgPd2 at its relaxed geometry. Source: Alexandria via LeMat-Bulk, functional PBE.

Size of the total moment (μB/cell): 0.412
Fermi-level density of states (states/eV/atom): 0.904
Space group: P4/mmm, No. 123
ΔE_f (eV per atom): -0.47

POSCAR file:
```
CeHgPd2
1.0
-1.764 1.262 2.758
-2.652 -2.189 -0.694
2.785 -4.608 3.892
Pd Hg Ce
2 1 1
direct
0.000 0.000 0.733
0.000 0.000 0.267
0.500 0.500 0.500
0.500 0.500 0.000
```

10.
Crystalline Ce2HgPd8 at its relaxed geometry. Source: Alexandria via LeMat-Bulk, functional PBE.

Size of the total moment (μB/cell): 0.270
Fermi-level density of states (states/eV/atom): 0.507
Space group: P4/mmm, No. 123
ΔE_f (eV per atom): -0.58

POSCAR file:
```
Ce2HgPd8
1.0
-3.511 0.939 -1.979
1.766 -0.997 -3.607
-3.795 -11.436 1.304
Ce Hg Pd
2 1 8
direct
0.000 0.000 0.324
0.000 0.000 0.676
0.000 0.000 0.000
0.000 0.500 0.500
0.500 0.000 0.500
0.500 0.500 0.331
0.500 0.500 0.669
0.000 0.500 0.164
0.500 0.000 0.164
0.000 0.500 0.836
0.500 0.000 0.836
```

11.
Crystalline CeHg2Pd at its relaxed geometry. Source: Alexandria via LeMat-Bulk, functional PBE.

Size of the total moment (μB/cell): 0.921
Fermi-level density of states (states/eV/atom): 1.351
Space group: R-3m, No. 166
ΔE_f (eV per atom): 0.10

POSCAR file:
```
CeHg2Pd
1.0
-0.985 -1.637 -2.509
2.042 -1.762 -1.634
-1.852 -9.618 5.018
Pd Hg Ce
1 2 1
direct
0.500 0.500 0.500
0.098 0.098 0.705
0.902 0.902 0.295
0.000 0.000 0.000
```

12.
Crystalline Ce2HgPd6 at its relaxed geometry. Source: Alexandria via LeMat-Bulk, functional PBE.

Size of the total moment (μB/cell): 1.177
Fermi-level density of states (states/eV/atom): 1.373
Space group: P-3m1, No. 164
ΔE_f (eV per atom): -0.58

POSCAR file:
```
Ce2HgPd6
1.0
-2.696 -1.271 5.684
5.121 0.395 2.515
1.828 5.040 1.992
Ce Hg Pd
2 1 6
direct
0.773 0.667 0.667
0.227 0.333 0.333
0.000 0.000 0.000
0.330 0.347 0.827
0.329 0.827 0.827
0.330 0.827 0.347
0.670 0.653 0.173
0.671 0.173 0.173
0.670 0.173 0.653
```

13.
Crystalline Ce2HgPd at its relaxed geometry. Source: Alexandria via LeMat-Bulk, functional PBE.

Size of the total moment (μB/cell): 1.832
Excess energy over the best structure of this formula in the dataset (eV per atom): 0.0675
Fermi-level density of states (states/eV/atom): 3.377
Space group: Fm-3m, No. 225
ΔE_f (eV per atom): -0.39

POSCAR file:
```
Ce2HgPd
1.0
5.233 0.000 0.000
2.616 4.532 0.000
2.616 1.511 4.272
Pd Hg Ce
1 1 2
direct
0.500 0.500 0.500
0.000 0.000 0.000
0.250 0.250 0.250
0.750 0.750 0.750
```

14.
Crystalline Ce5Hg2Pd2 at its relaxed geometry. Source: Alexandria via LeMat-Bulk, functional PBE.

Size of the total moment (μB/cell): 10.397
Fermi-level density of states (states/eV/atom): 3.489
Space group: Cmce, No. 64
ΔE_f (eV per atom): -0.36

POSCAR file:
```
Ce5Hg2Pd2
1.0
8.533 0.000 0.000
0.000 7.241 0.000
0.000 -3.620 7.953
Ce Hg Pd
10 4 4
direct
0.000 0.000 0.000
0.500 0.500 0.000
0.819 0.795 0.253
0.181 0.458 0.253
0.319 0.958 0.253
0.681 0.295 0.253
0.181 0.205 0.747
0.819 0.542 0.747
0.681 0.042 0.747
0.319 0.705 0.747
0.000 0.215 0.431
0.500 0.715 0.431
0.000 0.785 0.569
0.500 0.285 0.569
0.619 0.867 0.000
0.381 0.133 0.000
0.119 0.633 0.000
0.881 0.367 0.000
```

15.
Crystalline CeHgPd6 at its relaxed geometry. Source: Alexandria via LeMat-Bulk, functional PBE.

Size of the total moment (μB/cell): 0.000
Excess energy over the best structure of this formula in the dataset (eV per atom): 0.0000
Fermi-level density of states (states/eV/atom): 0.475
Space group: P4/mmm, No. 123
ΔE_f (eV per atom): -0.51

POSCAR file:
```
CeHgPd6
1.0
4.123 0.000 0.000
0.000 4.123 0.000
0.000 0.000 8.154
Ce Hg Pd
1 1 6
direct
0.000 0.000 0.500
0.000 0.000 0.000
0.500 0.500 0.000
0.500 0.500 0.500
0.500 0.000 0.251
0.500 0.000 0.749
0.000 0.500 0.251
0.000 0.500 0.749
```

16.
Crystalline Ce2HgPd at its relaxed geometry. Source: Alexandria via LeMat-Bulk, functional PBE.

Size of the total moment (μB/cell): 3.445
Excess energy over the best structure of this formula in the dataset (eV per atom): 0.0299
Fermi-level density of states (states/eV/atom): 2.423
Space group: Imma, No. 74
ΔE_f (eV per atom): -0.43

POSCAR file:
```
Ce2HgPd
1.0
7.164 0.000 0.000
3.582 5.164 -0.701
3.582 0.329 5.201
Ce Hg Pd
4 2 2
direct
0.202 0.298 0.798
0.298 0.702 0.202
0.798 0.702 0.202
0.702 0.298 0.798
0.250 0.201 0.299
0.750 0.799 0.701
0.750 0.197 0.303
0.250 0.803 0.697
```

17.
Crystalline CeHg2Pd at its relaxed geometry. Source: Alexandria via LeMat-Bulk, functional PBE.

Size of the total moment (μB/cell): 0.848
Fermi-level density of states (states/eV/atom): 1.802
Space group: Fm-3m, No. 225
ΔE_f (eV per atom): -0.37

POSCAR file:
```
CeHg2Pd
1.0
-3.103 -1.176 -3.793
-1.050 -4.828 -0.992
-4.592 -1.832 0.976
Pd Hg Ce
1 2 1
direct
0.500 0.500 0.500
0.250 0.250 0.250
0.750 0.750 0.750
0.000 0.000 0.000
```

18.
Crystalline Ce2Hg2Pd15 at its relaxed geometry. Source: Alexandria via LeMat-Bulk, functional PBE.

Size of the total moment (μB/cell): 1.061
Fermi-level density of states (states/eV/atom): 1.440
Space group: R-3m, No. 166
ΔE_f (eV per atom): -0.32

POSCAR file:
```
Ce2Hg2Pd15
1.0
7.048 0.053 0.047
0.967 6.982 0.047
0.967 0.848 6.930
Ce Hg Pd
2 2 15
direct
0.350 0.350 0.350
0.650 0.650 0.650
0.101 0.101 0.101
0.899 0.899 0.899
0.500 0.000 0.000
0.000 0.000 0.500
0.000 0.500 0.000
0.000 0.686 0.314
0.686 0.314 0.000
0.314 0.000 0.686
0.314 0.686 0.000
0.686 0.000 0.314
0.000 0.314 0.686
0.163 0.652 0.652
0.652 0.652 0.163
0.652 0.163 0.652
0.837 0.348 0.348
0.348 0.348 0.837
0.348 0.837 0.348
```

19.
Crystalline CeHg5Pd6 at its relaxed geometry. Source: Alexandria via LeMat-Bulk, functional PBE.

Size of the total moment (μB/cell): 0.531
Fermi-level density of states (states/eV/atom): 0.682
Space group: P2/m, No. 10
ΔE_f (eV per atom): -0.29

POSCAR file:
```
CeHg5Pd6
1.0
-2.895 0.136 -3.591
-5.364 -1.959 4.250
0.441 6.542 3.572
Pd Hg Ce
6 5 1
direct
0.821 0.749 0.667
0.821 0.251 0.667
0.500 0.254 0.000
0.500 0.746 0.000
0.179 0.749 0.333
0.179 0.251 0.333
0.675 0.500 0.332
0.319 0.000 0.663
0.000 0.500 0.000
0.681 0.000 0.337
0.325 0.500 0.668
0.000 0.000 0.000
```

20.
Crystalline Ce2HgPd at its relaxed geometry. Source: Alexandria via LeMat-Bulk, functional PBE.

Size of the total moment (μB/cell): 2.047
Excess energy over the best structure of this formula in the dataset (eV per atom): 0.1051
Fermi-level density of states (states/eV/atom): 3.208
Space group: R-3m, No. 166
ΔE_f (eV per atom): -0.36

POSCAR file:
```
Ce2HgPd
1.0
-1.346 0.427 -3.731
2.475 -0.522 -3.085
-1.571 -8.017 -2.484
Pd Hg Ce
1 1 2
direct
0.000 0.000 0.000
0.500 0.500 0.500
0.261 0.261 0.216
0.739 0.739 0.784
```